# 1
NaMgReRu2 after structural relaxation, computed with PBE.

Output
For the formation energy, the calculation gives 2.35 eV/atom. As for the crystal system: tetragonal. For the size of the total moment, the calculation gives 3.46 μB per formula unit. The space group is P4/mmm, No. 123. The calculated volume is 18.798 Å³/atom.

```
data_NaMgReRu2
_chemical_formula_sum 'Na1 Mg1 Re1 Ru2'
_cell_length_a 4.521
_cell_length_b 4.598
_cell_length_c 4.521
_cell_angle_alpha 90.00
_cell_angle_beta 90.00
_cell_angle_gamma 90.00
_space_group_name_H-M_alt 'P 1'
_space_group_IT_number 1
loop_
_space_group_symop_operation_xyz
'x,y,z'
loop_
_atom_site_label
_atom_site_fract_x
_atom_site_fract_y
_atom_site_fract_z
_atom_site_occupancy
Re1 0.000 0.500 0.000 1
Mg1 0.500 0.500 0.500 1
Na1 0.000 0.000 0.000 1
Ru1 0.000 0.000 0.500 1
Ru2 0.500 0.000 0.000 1
```


# 2
TiMn2Cr after structural relaxation, computed with PBE.

Output
For the formation energy, the calculation gives 0.41 eV/atom. As for the crystal system: tetragonal. For the size of the total moment, the calculation gives 2.01 μB per formula unit. The space group is I-42d, No. 122. The calculated volume is 13.612 Å³/atom.

```
data_TiMn2Cr
_chemical_formula_sum 'Ti2 Mn4 Cr2'
_cell_length_a 6.509
_cell_length_b 6.509
_cell_length_c 5.272
_cell_angle_alpha 51.88
_cell_angle_beta 51.88
_cell_angle_gamma 90.00
_space_group_name_H-M_alt 'P 1'
_space_group_IT_number 1
loop_
_space_group_symop_operation_xyz
'x,y,z'
loop_
_atom_site_label
_atom_site_fract_x
_atom_site_fract_y
_atom_site_fract_z
_atom_site_occupancy
Cr1 0.000 0.000 0.000 1
Cr2 0.750 0.250 0.500 1
Mn1 0.656 0.125 0.250 1
Mn2 0.094 0.625 0.250 1
Mn3 0.375 0.344 0.750 1
Mn4 0.875 0.906 0.750 1
Ti1 0.500 0.500 0.000 1
Ti2 0.250 0.750 0.500 1
```


# 3
Ac4PrN5 after structural relaxation, computed with PBE.

Output
As for the crystal system: tetragonal. For the size of the total moment, the calculation gives 0.00 μB per formula unit. The space group is I4, No. 79. The calculated volume is 20.787 Å³/atom. As for the formation energy from raw total energies: -1.12 eV per atom.

```
data_Ac4PrN5
_chemical_formula_sum 'Ac4 Pr1 N5'
_cell_length_a 5.836
_cell_length_b 6.643
_cell_length_c 6.643
_cell_angle_alpha 78.88
_cell_angle_beta 63.95
_cell_angle_gamma 63.95
_space_group_name_H-M_alt 'P 1'
_space_group_IT_number 1
loop_
_space_group_symop_operation_xyz
'x,y,z'
loop_
_atom_site_label
_atom_site_fract_x
_atom_site_fract_y
_atom_site_fract_z
_atom_site_occupancy
Ac1 0.430 0.402 0.804 1
Ac2 0.832 0.804 0.598 1
Ac3 0.234 0.196 0.402 1
Ac4 0.635 0.598 0.196 1
Pr1 0.036 0.000 0.000 1
N1 0.878 0.390 0.802 1
N2 0.269 0.802 0.610 1
N3 0.681 0.198 0.390 1
N4 0.071 0.610 0.198 1
N5 0.445 0.000 0.000 1
```


# 4
AsRu2C after structural relaxation, computed with PBE.

Output
For the formation energy, the calculation gives 0.28 eV/atom. As for the crystal system: tetragonal. For the size of the total moment, the calculation gives 0.00 μB per formula unit. The space group is I-42d, No. 122. The calculated volume is 15.527 Å³/atom. Its polymorph energy (0 for the lowest one) is 0.0000 eV per atom.

```
data_AsRu2C
_chemical_formula_sum 'As2 Ru4 C2'
_cell_length_a 5.109
_cell_length_b 5.109
_cell_length_c 5.975
_cell_angle_alpha 64.69
_cell_angle_beta 64.69
_cell_angle_gamma 90.00
_space_group_name_H-M_alt 'P 1'
_space_group_IT_number 1
loop_
_space_group_symop_operation_xyz
'x,y,z'
loop_
_atom_site_label
_atom_site_fract_x
_atom_site_fract_y
_atom_site_fract_z
_atom_site_occupancy
Ru1 0.551 0.125 0.250 1
Ru2 0.199 0.625 0.250 1
Ru3 0.375 0.449 0.750 1
Ru4 0.875 0.801 0.750 1
As1 0.000 0.000 0.000 1
As2 0.750 0.250 0.500 1
C1 0.500 0.500 0.000 1
C2 0.250 0.750 0.500 1
```


# 5
MnCd2CoRe after structural relaxation, computed with PBE.

Output
For the formation energy, the calculation gives 1.60 eV/atom. As for the crystal system: tetragonal. For the size of the total moment, the calculation gives 5.04 μB per formula unit. The space group is P4/mmm, No. 123. The calculated volume is 24.313 Å³/atom.

```
data_MnCd2CoRe
_chemical_formula_sum 'Mn1 Cd2 Co1 Re1'
_cell_length_a 5.222
_cell_length_b 4.459
_cell_length_c 5.222
_cell_angle_alpha 90.00
_cell_angle_beta 90.00
_cell_angle_gamma 90.00
_space_group_name_H-M_alt 'P 1'
_space_group_IT_number 1
loop_
_space_group_symop_operation_xyz
'x,y,z'
loop_
_atom_site_label
_atom_site_fract_x
_atom_site_fract_y
_atom_site_fract_z
_atom_site_occupancy
Re1 0.000 0.000 0.000 1
Mn1 0.000 0.500 0.000 1
Co1 0.500 0.500 0.500 1
Cd1 0.000 0.000 0.500 1
Cd2 0.500 0.000 0.000 1
```


# 6
LiSi6Ir3 after structural relaxation, computed with PBE.

Output
As for the crystal system: monoclinic. For the size of the total moment, the calculation gives 0.00 μB per formula unit. The space group is P2_1/m, No. 11. The calculated volume is 15.881 Å³/atom. As for the formation energy from raw total energies: -0.36 eV per atom.

```
data_LiSi6Ir3
_chemical_formula_sum 'Li2 Si12 Ir6'
_cell_length_a 3.753
_cell_length_b 9.718
_cell_length_c 8.901
_cell_angle_alpha 101.91
_cell_angle_beta 90.00
_cell_angle_gamma 90.00
_space_group_name_H-M_alt 'P 1'
_space_group_IT_number 1
loop_
_space_group_symop_operation_xyz
'x,y,z'
loop_
_atom_site_label
_atom_site_fract_x
_atom_site_fract_y
_atom_site_fract_z
_atom_site_occupancy
Li1 0.750 0.969 0.710 1
Li2 0.250 0.031 0.290 1
Si1 0.750 0.461 0.586 1
Si2 0.250 0.539 0.414 1
Si3 0.750 0.874 0.125 1
Si4 0.250 0.126 0.875 1
Si5 0.750 0.349 0.046 1
Si6 0.250 0.651 0.954 1
Si7 0.750 0.667 0.241 1
Si8 0.250 0.333 0.759 1
Si9 0.750 0.151 0.508 1
Si10 0.250 0.849 0.492 1
Si11 0.750 0.739 0.803 1
Si12 0.250 0.261 0.197 1
Ir1 0.750 0.492 0.861 1
Ir2 0.250 0.508 0.139 1
Ir3 0.750 0.699 0.523 1
Ir4 0.250 0.301 0.477 1
Ir5 0.750 0.110 0.043 1
Ir6 0.250 0.890 0.957 1
```


# 7
KAs2Cl after structural relaxation, computed with PBE.

Output
As for the crystal system: orthorhombic. For the size of the total moment, the calculation gives 0.00 μB per formula unit. The space group is Cmmm, No. 65. The calculated volume is 28.877 Å³/atom. As for the formation energy from raw total energies: -0.14 eV per atom. Its polymorph energy (0 for the lowest one) is 0.5620 eV per atom.

```
data_KAs2Cl
_chemical_formula_sum 'K1 As2 Cl1'
_cell_length_a 7.845
_cell_length_b 7.845
_cell_length_c 2.919
_cell_angle_alpha 90.00
_cell_angle_beta 90.00
_cell_angle_gamma 139.98
_space_group_name_H-M_alt 'P 1'
_space_group_IT_number 1
loop_
_space_group_symop_operation_xyz
'x,y,z'
loop_
_atom_site_label
_atom_site_fract_x
_atom_site_fract_y
_atom_site_fract_z
_atom_site_occupancy
As1 0.000 0.000 0.000 1
As2 0.500 0.500 0.000 1
K1 0.000 0.500 0.500 1
Cl1 0.500 0.000 0.500 1
```


# 8
TaCoW2 after structural relaxation, computed with PBE.

Output
For the formation energy, the calculation gives 0.12 eV/atom. As for the crystal system: monoclinic. For the size of the total moment, the calculation gives 1.30 μB per formula unit. The space group is Pm, No. 6. The calculated volume is 15.501 Å³/atom. Its polymorph energy (0 for the lowest one) is 0.0979 eV per atom.

```
data_TaCoW2
_chemical_formula_sum 'Ta1 Co1 W2'
_cell_length_a 4.410
_cell_length_b 2.727
_cell_length_c 5.226
_cell_angle_alpha 80.52
_cell_angle_beta 90.00
_cell_angle_gamma 90.00
_space_group_name_H-M_alt 'P 1'
_space_group_IT_number 1
loop_
_space_group_symop_operation_xyz
'x,y,z'
loop_
_atom_site_label
_atom_site_fract_x
_atom_site_fract_y
_atom_site_fract_z
_atom_site_occupancy
Co1 0.000 0.496 0.505 1
Ta1 0.500 0.746 0.742 1
W1 0.000 0.005 0.008 1
W2 0.500 0.253 0.245 1
```